First-principles (PBE-GGA) data for a relaxed structure of Pu2Se3S, as listed in OQMD via LeMat-Bulk.

Calculated values
Energy relative to the lowest polymorph listed for this composition (meV/atom): 0

Cell lengths 6.587, 8.291, 8.293 Å; angles 60.11, 70.59, 88.99 degrees
Space group P-1 (No. 2)
Unique sites:
Pu1 0.005 0.257 0.497
Pu2 0.017 0.751 0.000
Se1 0.230 0.120 0.247
Se2 0.241 0.614 0.752
Se3 0.246 0.127 0.750
S1 0.214 0.618 0.264